(1)
# Y2Ho6TmSc3, relaxed, DFT PBE
data_Y2Ho6TmSc3
_chemical_formula_sum 'Y4 Ho12 Tm2 Sc6'
_cell_length_a 6.020
_cell_length_b 10.419
_cell_length_c 11.429
_cell_angle_alpha 90.00
_cell_angle_beta 100.09
_cell_angle_gamma 90.00
_space_group_name_H-M_alt 'C 1 2/m 1'
_space_group_IT_number 12
loop_
_space_group_symop_operation_xyz
'x,y,z'
'-x,-y,-z'
'-x,y,-z'
'x,-y,z'
'x+1/2,y+1/2,z'
'-x+1/2,-y+1/2,-z'
'-x+1/2,y+1/2,-z'
'x+1/2,-y+1/2,z'
loop_
_atom_site_label
_atom_site_type_symbol
_atom_site_fract_x
_atom_site_fract_y
_atom_site_fract_z
Y1 Y 0.000 0.167 0.000
Ho1 Ho 0.246 0.500 0.741
Ho2 Ho 0.247 0.166 0.741
Tm1 Tm 0.000 0.500 0.000
Sc1 Sc 0.000 0.000 0.500
Sc2 Sc 0.000 0.333 0.500
# * crystal system: monoclinic
# * energy of formation: 0.05 eV/atom

(2)
# PuCu4Pt, relaxed, DFT PBE
data_PuCu4Pt
_chemical_formula_sum 'Pu4 Cu16 Pt4'
_cell_length_a 7.106
_cell_length_b 7.106
_cell_length_c 7.106
_cell_angle_alpha 90.00
_cell_angle_beta 90.00
_cell_angle_gamma 90.00
_space_group_name_H-M_alt 'F -4 3 m'
_space_group_IT_number 216
_space_group_name_Hall 'F -4 2 3'
loop_
_atom_site_label
_atom_site_type_symbol
_atom_site_fract_x
_atom_site_fract_y
_atom_site_fract_z
Pu1 Pu 0.000 0.000 0.000
Cu1 Cu 0.124 0.124 0.624
Pt1 Pt 0.250 0.250 0.250
# * crystal system: cubic
# * energy of formation: -0.21 eV/atom

(3)
# BeHgSb2, relaxed, DFT PBE
data_BeHgSb2
_chemical_formula_sum 'Be1 Hg1 Sb2'
_cell_length_a 4.900
_cell_length_b 3.963
_cell_length_c 5.042
_cell_angle_alpha 90.00
_cell_angle_beta 105.54
_cell_angle_gamma 90.00
_space_group_name_H-M_alt 'P 1 m 1'
_space_group_IT_number 6
loop_
_space_group_symop_operation_xyz
'x,y,z'
'x,-y,z'
loop_
_atom_site_label
_atom_site_type_symbol
_atom_site_fract_x
_atom_site_fract_y
_atom_site_fract_z
Be1 Be 0.000 0.000 0.000
Hg1 Hg 0.157 0.500 0.738
Sb1 Sb 0.407 0.000 0.421
Sb2 Sb 0.762 0.500 0.145
# * raw formation energy: 1.29 eV/f.u.
# * crystal system: monoclinic

(4)
# ZrTi2Ga3, relaxed, DFT PBE
data_ZrTi2Ga3
_chemical_formula_sum 'Zr2 Ti4 Ga6'
_cell_length_a 5.292
_cell_length_b 9.219
_cell_length_c 4.448
_cell_angle_alpha 90.00
_cell_angle_beta 90.00
_cell_angle_gamma 90.00
_space_group_name_H-M_alt 'C m m m'
_space_group_IT_number 65
_space_group_name_Hall '-C 2 2'
loop_
_atom_site_label
_atom_site_type_symbol
_atom_site_fract_x
_atom_site_fract_y
_atom_site_fract_z
Zr1 Zr 0.000 0.000 0.000
Ti1 Ti 0.000 0.334 0.000
Ga1 Ga 0.000 0.500 0.500
Ga2 Ga 0.250 0.250 0.500
# * crystal system: orthorhombic
# * energy of formation: -0.28 eV/atom